Here is Fe2BiOsO8 after structural relaxation from the Alexandria database. Energies are from GGA+U.

Lattice parameters (Å, degrees): 4.7136 4.7136 6.4818 90.00 90.00 90.03
Element x y z (fractional)
Fe1 0.0000 0.0000 0.2482
Fe2 0.0000 0.0000 0.7518
Bi1 0.5000 0.5000 0.5000
Os1 0.5000 0.5000 0.0000
O1 0.1764 0.1764 0.5000
O2 0.2127 0.2127 0.0000
O3 0.3016 0.6984 0.2192
O4 0.3016 0.6984 0.7808
O5 0.6984 0.3016 0.2192
O6 0.6984 0.3016 0.7808
O7 0.7873 0.7873 0.0000
O8 0.8236 0.8236 0.5000

Calculated values
VASP energy: -0.2454 hartree per atom